# KZrOs2 | Alexandria via LeMat-Bulk | PBE-GGA | relaxed
data_KZrOs2
_space_group_name_H-M_alt 'P 1'
_space_group_IT_number 1
_cell_length_a 3.039
_cell_length_b 3.039
_cell_length_c 8.987
_cell_angle_alpha 90.00
_cell_angle_beta 90.00
_cell_angle_gamma 90.00
loop_
_space_group_symop_operation_xyz
'x,y,z'
loop_
_atom_site_label
_atom_site_fract_x
_atom_site_fract_y
_atom_site_fract_z
Os1 0.000 0.000 0.450
K1 0.500 0.500 0.750
Os2 0.000 0.000 0.050
Zr1 0.500 0.500 0.250
# density of states at the Fermi level	1.223	states/eV/atom
# DFT formation energy	742	meV per atom
# crystal system	tetragonal
# offset from the most stable computed form	0.2808	eV/atom
# ρ	10.2	g/cm³
# space group	No. 123